# NaCuS5, relaxed, DFT GGA-PBE
data_NaCuS5
_chemical_formula_sum 'Na2 Cu2 S10'
_space_group_name_H-M_alt 'P 1'
_space_group_IT_number 1
_cell_length_a 4.7612
_cell_length_b 8.6524
_cell_length_c 9.5136
_cell_angle_alpha 71.02
_cell_angle_beta 86.74
_cell_angle_gamma 85.82
loop_
_space_group_symop_operation_xyz
'x,y,z'
loop_
_atom_site_label
_atom_site_type_symbol
_atom_site_fract_x
_atom_site_fract_y
_atom_site_fract_z
Na1 Na 0.1370 0.0913 0.2017
Na2 Na 0.8630 0.9087 0.7983
Cu1 Cu 0.5000 0.0000 0.5000
Cu2 Cu 0.5000 0.5000 0.0000
S1 S 0.0360 0.7604 0.4310
S2 S 0.2487 0.7942 0.6049
S3 S 0.3116 0.6248 0.3353
S4 S 0.3704 0.7532 0.9608
S5 S 0.4862 0.2135 0.8462
S6 S 0.5138 0.7865 0.1538
S7 S 0.6296 0.2468 0.0392
S8 S 0.6884 0.3752 0.6647
S9 S 0.7513 0.2058 0.3951
S10 S 0.9640 0.2396 0.5690
# total magnetic moment = 0.0 Bohr magnetons per cell
# uncorrected formation energy = -0.204 eV per atom
# DFT total energy = -3.93 eV per atom